Compound: TiInRe2
Source: Alexandria via LeMat-Bulk
Functional: GGA-PBE
Structure: optimized geometry

abc: 3.990 3.990 9.922
angles: 78.40 78.40 90.00
Fractional positions:
In: 0.750 0.250 0.500
In: 0.000 0.000 0.000
Re: 0.375 0.447 0.750
Re: 0.197 0.625 0.250
Re: 0.553 0.125 0.250
Re: 0.875 0.803 0.750
Ti: 0.500 0.500 0.000
Ti: 0.250 0.750 0.500

Values from the calculation:
The value obtained for the formation energy is 0.66 eV/atom. The energy above the most stable polymorph in this dataset comes out at 371.6 meV/atom. For the final energy, the calculation gives -8.227 eV/atom. Its symmetry is I-42d, No. 122.